# CaZrCu2S

A relaxed structure of CaZrCu2S (PBE, Alexandria).

Cell lengths 4.781, 4.781, 6.757 Å; angles 90.00, 90.00, 90.00 degrees
Fractional coordinates of all 5 atoms:
Ca  0.000  0.000  0.000
Zr  0.000  0.000  0.500
Cu  0.000  0.500  0.500
Cu  0.500  0.000  0.500
S  0.500  0.500  0.000

Results
Raw formation energy   0.980 eV/atom
Total magnetic moment   1.75 μB per formula unit
Crystal system   tetragonal
Volume   30.88 A^3/atom
Total energy   -3.594 eV/atom
SG   P4/mmm
D(E_F)   0.680 states/eV/atom